[1]
Compound: Tm2PS
Source: Alexandria via LeMat-Bulk
Functional: GGA-PBE
Structure: relaxed

abc: 3.950 6.083 6.083
angles: 35.96 90.00 90.00
Atoms (fractional coordinates):
1 Tm 0.000 0.000 0.000
2 Tm 0.500 0.276 0.276
3 P 0.500 0.519 0.519
4 S 0.000 0.769 0.769

Computed properties:
For the formation energy without anion corrections, the calculation gives -1.57 eV/atom. As for the space-group type: Amm2, No. 38. The calculation puts the energy above the most stable polymorph in this dataset at 270.1 meV/atom. The total energy is -24.77 eV per cell. The value obtained for the density of states at the Fermi level is 1.6 states/eV per cell.

[2]
Compound: La3PtBr2
Source: Alexandria via LeMat-Bulk
Functional: GGA-PBE
Structure: relaxed

abc: 7.621 7.621 7.726
angles: 99.44 99.44 119.62
Atoms (fractional coordinates):
1 La 0.062 0.425 0.778
2 La 0.209 0.209 0.212
3 La 0.425 0.062 0.778
4 La 0.575 0.938 0.222
5 La 0.791 0.791 0.788
6 La 0.938 0.575 0.222
7 Pt 0.168 0.832 0.000
8 Pt 0.832 0.168 0.000
9 Br 0.000 0.000 0.500
10 Br 0.349 0.651 0.500
11 Br 0.500 0.500 0.000
12 Br 0.651 0.349 0.500

Computed properties:
For the formation energy without anion corrections, the calculation gives -1.32 eV/atom. As for the space-group type: C2/m, No. 12. The total energy is -64.21 eV per cell. The value obtained for the density of states at the Fermi level is 7.9 states/eV per cell.

[3]
Compound: SrNb2Pb
Source: Alexandria via LeMat-Bulk
Functional: GGA-PBE
Structure: relaxed

abc: 6.703 6.703 6.703
angles: 101.32 101.32 127.41
Atoms (fractional coordinates):
1 Sr 0.000 0.000 0.000
2 Sr 0.750 0.250 0.500
3 Nb 0.166 0.625 0.041
4 Nb 0.375 0.416 0.541
5 Nb 0.584 0.125 0.959
6 Nb 0.875 0.834 0.459
7 Pb 0.250 0.750 0.500
8 Pb 0.500 0.500 0.000

Computed properties:
As for the space-group type: I-42d, No. 122. The total energy is -42.75 eV per cell. The value obtained for the density of states at the Fermi level is 7.5 states/eV per cell. Its formation energy is 1039 meV per atom.

[4]
Compound: Ti8Sn2P
Source: Alexandria via LeMat-Bulk
Functional: GGA-PBE
Structure: relaxed

abc: 8.120 8.120 5.153
angles: 94.50 94.50 33.86
Atoms (fractional coordinates):
1 Ti 0.041 0.041 0.254
2 Ti 0.235 0.235 0.331
3 Ti 0.340 0.340 0.900
4 Ti 0.415 0.415 0.449
5 Ti 0.585 0.585 0.551
6 Ti 0.660 0.660 0.100
7 Ti 0.765 0.765 0.669
8 Ti 0.959 0.959 0.746
9 Sn 0.154 0.154 0.791
10 Sn 0.846 0.846 0.209
11 P 0.500 0.500 0.000

Computed properties:
As for the space-group type: C2/m, No. 12. The total energy is -80.77 eV per cell. The value obtained for the density of states at the Fermi level is 10.5 states/eV per cell. Its formation energy is -381 meV per atom.

[5]
Compound: RePPtCl2
Source: Alexandria via LeMat-Bulk
Functional: GGA-PBE
Structure: relaxed

abc: 4.614 4.614 4.782
angles: 90.00 90.00 90.00
Atoms (fractional coordinates):
1 Re 0.000 0.000 0.000
2 P 0.000 0.000 0.500
3 Pt 0.500 0.500 0.500
4 Cl 0.000 0.500 0.000
5 Cl 0.500 0.000 0.000

Computed properties:
For the formation energy without anion corrections, the calculation gives 0.92 eV/atom. As for the space-group type: P4/mmm, No. 123. The calculation puts the energy above the most stable polymorph in this dataset at 0.0 meV/atom. The total energy is -22.98 eV per cell. The value obtained for the density of states at the Fermi level is 4.9 states/eV per cell.

[6]
Compound: Er3Zn9Ag2
Source: Alexandria via LeMat-Bulk
Functional: GGA-PBE
Structure: relaxed

abc: 8.213 8.213 8.213
angles: 148.96 115.26 73.53
Atoms (fractional coordinates):
1 Er 0.000 0.000 0.000
2 Er 0.294 0.294 0.000
3 Er 0.706 0.706 0.000
4 Zn 0.025 0.665 0.360
5 Zn 0.144 0.862 0.282
6 Zn 0.305 0.665 0.640
7 Zn 0.419 0.138 0.282
8 Zn 0.500 0.000 0.500
9 Zn 0.581 0.862 0.718
10 Zn 0.695 0.335 0.360
11 Zn 0.856 0.138 0.718
12 Zn 0.975 0.335 0.640
13 Ag 0.314 0.500 0.814
14 Ag 0.686 0.500 0.186

Computed properties:
As for the space-group type: Immm, No. 71. The total energy is -35.08 eV per cell. The value obtained for the density of states at the Fermi level is 6.8 states/eV per cell. Its formation energy is -301 meV per atom.

[7]
Compound: AgRh2
Source: Alexandria via LeMat-Bulk
Functional: GGA-PBE
Structure: relaxed

abc: 5.585 3.930 8.379
angles: 90.00 90.00 90.00
Atoms (fractional coordinates):
1 Ag 0.117 0.250 0.081
2 Ag 0.383 0.750 0.581
3 Ag 0.617 0.250 0.419
4 Ag 0.883 0.750 0.919
5 Rh 0.111 0.250 0.415
6 Rh 0.129 0.250 0.738
7 Rh 0.371 0.750 0.238
8 Rh 0.389 0.750 0.915
9 Rh 0.611 0.250 0.085
10 Rh 0.629 0.250 0.762
11 Rh 0.871 0.750 0.262
12 Rh 0.889 0.750 0.585

Computed properties:
As for the space-group type: Pnma, No. 62. The calculation puts the energy above the most stable polymorph in this dataset at 132.8 meV/atom. The total energy is -66.71 eV per cell. The value obtained for the density of states at the Fermi level is 20.3 states/eV per cell. Its formation energy is 292 meV per atom.

[8]
Compound: LiCO
Source: Alexandria via LeMat-Bulk
Functional: GGA-PBE
Structure: relaxed

abc: 3.106 2.604 5.939
angles: 90.00 104.82 90.00
Atoms (fractional coordinates):
1 Li 0.177 0.250 0.350
2 Li 0.823 0.750 0.650
3 C 0.470 0.250 0.941
4 C 0.530 0.750 0.059
5 O 0.347 0.250 0.701
6 O 0.653 0.750 0.299

Computed properties:
For the formation energy without anion corrections, the calculation gives -1.10 eV/atom. As for the space-group type: P2_1/m, No. 11. The calculation puts the energy above the most stable polymorph in this dataset at 0.0 meV/atom. The total energy is -38.82 eV per cell. The value obtained for the density of states at the Fermi level is 0.4 states/eV per cell.

[9]
Compound: LiNb13O33
Source: Alexandria via LeMat-Bulk
Functional: GGA-PBE
Structure: relaxed

abc: 11.565 11.565 15.702
angles: 91.81 91.81 19.24
Atoms (fractional coordinates):
1 Li 0.000 0.000 0.000
2 Nb 0.208 0.208 0.125
3 Nb 0.275 0.275 0.364
4 Nb 0.345 0.345 0.597
5 Nb 0.365 0.365 0.031
6 Nb 0.414 0.414 0.826
7 Nb 0.429 0.429 0.272
8 Nb 0.500 0.500 0.500
9 Nb 0.571 0.571 0.728
10 Nb 0.586 0.586 0.174
11 Nb 0.635 0.635 0.969
12 Nb 0.655 0.655 0.403
13 Nb 0.725 0.725 0.636
14 Nb 0.792 0.792 0.875
15 O 0.000 0.000 0.500
16 O 0.071 0.071 0.746
17 O 0.109 0.109 0.162
18 O 0.152 0.152 0.997
19 O 0.180 0.180 0.400
20 O 0.233 0.233 0.235
21 O 0.250 0.250 0.637
22 O 0.278 0.278 0.070
23 O 0.306 0.306 0.474
24 O 0.319 0.319 0.889
25 O 0.347 0.347 0.306
26 O 0.373 0.373 0.713
27 O 0.401 0.401 0.134
28 O 0.418 0.418 0.549
29 O 0.434 0.434 0.957
30 O 0.465 0.465 0.380
31 O 0.489 0.489 0.791
32 O 0.511 0.511 0.209
33 O 0.535 0.535 0.620
34 O 0.566 0.566 0.043
35 O 0.582 0.582 0.451
36 O 0.599 0.599 0.866
37 O 0.627 0.627 0.287
38 O 0.653 0.653 0.694
39 O 0.681 0.681 0.111
40 O 0.694 0.694 0.526
41 O 0.722 0.722 0.930
42 O 0.750 0.750 0.363
43 O 0.767 0.767 0.765
44 O 0.820 0.820 0.600
45 O 0.848 0.848 0.003
46 O 0.891 0.891 0.838
47 O 0.929 0.929 0.254

Computed properties:
For the formation energy without anion corrections, the calculation gives -2.53 eV/atom. As for the space-group type: C2/m, No. 12. The total energy is -415.21 eV per cell. The value obtained for the density of states at the Fermi level is 0.0 states/eV per cell.

[10]
Compound: Ni3AgAu
Source: Alexandria via LeMat-Bulk
Functional: GGA-PBE
Structure: relaxed

abc: 4.681 4.681 4.681
angles: 90.00 90.00 90.00
Atoms (fractional coordinates):
1 Ni 0.000 0.000 0.500
2 Ni 0.000 0.500 0.000
3 Ni 0.500 0.000 0.000
4 Ag 0.500 0.500 0.500
5 Au 0.000 0.000 0.000

Computed properties:
As for the space-group type: Pm-3m, No. 221. The calculation puts the energy above the most stable polymorph in this dataset at 0.0 meV/atom. The total energy is -17.20 eV per cell. The value obtained for the density of states at the Fermi level is 13.3 states/eV per cell. Its formation energy is 1254 meV per atom.

[11]
Compound: PaInBi2
Source: Alexandria via LeMat-Bulk
Functional: GGA-PBE
Structure: relaxed

abc: 12.449 12.449 12.449
angles: 15.52 15.52 15.52
Atoms (fractional coordinates):
1 Pa 0.000 0.000 0.000
2 In 0.500 0.500 0.500
3 Bi 0.409 0.409 0.409
4 Bi 0.591 0.591 0.591

Computed properties:
As for the space-group type: R-3m, No. 166. The calculation puts the energy above the most stable polymorph in this dataset at 127.3 meV/atom. The total energy is -20.07 eV per cell. The value obtained for the density of states at the Fermi level is 3.6 states/eV per cell. Its formation energy is -19 meV per atom.

[12]
Compound: Nb5Si2Sb
Source: Alexandria via LeMat-Bulk
Functional: GGA-PBE
Structure: relaxed

abc: 7.729 7.729 7.729
angles: 128.10 128.10 76.46
Atoms (fractional coordinates):
1 Nb 0.000 0.000 0.000
2 Nb 0.019 0.519 0.823
3 Nb 0.196 0.019 0.500
4 Nb 0.304 0.804 0.823
5 Nb 0.481 0.304 0.500
6 Nb 0.500 0.500 0.000
7 Nb 0.519 0.696 0.500
8 Nb 0.696 0.196 0.177
9 Nb 0.804 0.981 0.500
10 Nb 0.981 0.481 0.177
11 Si 0.132 0.368 0.500
12 Si 0.368 0.868 0.237
13 Si 0.632 0.132 0.763
14 Si 0.868 0.632 0.500
15 Sb 0.250 0.250 0.000
16 Sb 0.750 0.750 0.000

Computed properties:
For the formation energy without anion corrections, the calculation gives -0.55 eV/atom. As for the space-group type: I4/mcm, No. 140. The total energy is -139.48 eV per cell. The value obtained for the density of states at the Fermi level is 9.2 states/eV per cell.

The total magnetic moment results, record by record, are as follows: 0.00; 0.00; 0.00; 0.00; 0.00; 0.00; 0.03; 0.00; 0.00; 1.93; 0.00; 0.00 μB per cell.